{
  "formula": "NaLiCaCu",
  "functional": "PBE",
  "state": "optimized geometry",
  "lattice": [[-1.053, 4.281, -2.581], [-4.855, 1.368, -0.805], [-1.954, 4.039, 2.441]],
  "species": ["Na", "Ca", "Cu", "Li"],
  "frac_coords": [[0.750, 0.750, 0.750], [0.000, 0.000, 0.000], [0.250, 0.250, 0.250], [0.500, 0.500, 0.500]],
  "n_ef_per_ev_cell": 1.31,
  "e_tot_ev_per_atom": -2.21,
  "ef_ev_per_atom": 0.121
}